The following is a DFT calculation (PBE) of a geometry-optimized Ni3Ge7 structure. Values from VASP.

Cell and atoms, written as Quantum ESPRESSO input:
```
&SYSTEM
  ibrav = 0, nat = 20, ntyp = 2
/
ATOMIC_SPECIES
Ge 72.64 Ge.upf
Ni 58.69 Ni.upf
ATOMIC_POSITIONS angstrom
Ge 2.692 -2.970 2.650
Ge -0.002 -4.533 -1.593
Ge -1.307 -2.067 0.158
Ge 2.280 0.192 -4.439
Ge 1.680 0.043 1.784
Ni 2.881 0.142 -0.406
Ni -0.193 -2.030 -2.079
Ge 1.840 -2.892 -3.368
Ni 0.749 -4.065 3.901
Ge 3.423 0.088 3.635
Ge 1.119 0.094 -2.178
Ni 5.621 0.276 -0.792
Ge 4.108 -1.289 -2.133
Ge 0.424 -4.572 1.416
Ni -0.377 -3.962 -4.057
Ge 4.534 -1.328 0.876
Ge 1.492 -1.930 -0.236
Ni 0.384 -2.083 1.999
Ge -2.663 -4.212 0.322
Ge 3.041 -3.932 -0.481
CELL_PARAMETERS angstrom
-3.969 -6.279 0.481
3.399 0.287 -6.617
5.103 0.131 5.419
```

Properties
D(E_F) = 9.4 states/eV per cell
raw total energy = -50.22 eV/f.u.
formation enthalpy at 0 K = -0.055 eV/atom
space-group type = Im-3m (229)
size of the total moment = 0.0 μB/cell

The following is a DFT calculation (PBE) of a geometry-optimized Ni2Ge structure. Values from VASP.

Cell and atoms, written as Quantum ESPRESSO input:
```
&SYSTEM
  ibrav = 0, nat = 6, ntyp = 2
/
ATOMIC_SPECIES
Ge 72.64 Ge.upf
Ni 58.69 Ni.upf
ATOMIC_POSITIONS angstrom
Ge 1.840 0.493 4.045
Ni -0.452 0.438 4.427
Ni 0.000 0.000 0.000
Ni 1.527 -0.930 1.957
Ni 0.314 1.423 2.089
Ge -0.765 -0.985 2.338
CELL_PARAMETERS angstrom
-3.214 -1.752 1.676
3.662 -1.586 0.531
0.627 2.846 4.177
```

Properties
D(E_F) = 4.0 states/eV per cell
raw total energy = -17.02 eV/f.u.
formation enthalpy at 0 K = -0.280 eV/atom
space-group type = P6_3/mmc (194)
size of the total moment = 0.0 μB/cell

The following is a DFT calculation (PBE) of a geometry-optimized NiGe3 structure. Values from VASP.

Cell and atoms, written as Quantum ESPRESSO input:
```
&SYSTEM
  ibrav = 0, nat = 4, ntyp = 2
/
ATOMIC_SPECIES
Ni 58.69 Ni.upf
Ge 72.64 Ge.upf
ATOMIC_POSITIONS angstrom
Ni 0.000 0.000 0.000
Ge 2.020 0.000 2.020
Ge 2.020 2.020 0.000
Ge 0.000 2.020 2.020
CELL_PARAMETERS angstrom
4.039 0.000 0.000
0.000 4.039 0.000
0.000 0.000 4.039
```

Properties
D(E_F) = 3.6 states/eV per cell
raw total energy = -18.52 eV/f.u.
formation enthalpy at 0 K = 0.279 eV/atom
space-group type = Pm-3m (221)
size of the total moment = 0.0 μB/cell

The following is a DFT calculation (PBE) of a geometry-optimized Ni2Ge structure. Values from VASP.

Cell and atoms, written as Quantum ESPRESSO input:
```
&SYSTEM
  ibrav = 0, nat = 6, ntyp = 2
/
ATOMIC_SPECIES
Ni 58.69 Ni.upf
Ge 72.64 Ge.upf
ATOMIC_POSITIONS angstrom
Ni 1.929 4.040 0.000
Ni 0.000 0.330 0.000
Ge 0.000 4.899 1.433
Ge 1.929 1.700 0.000
Ni 0.000 2.559 1.433
Ni 1.929 6.269 1.433
CELL_PARAMETERS angstrom
3.857 0.000 0.000
0.000 6.599 0.000
0.000 0.000 2.867
```

Properties
D(E_F) = 3.4 states/eV per cell
raw total energy = -17.00 eV/f.u.
formation enthalpy at 0 K = -0.274 eV/atom
space-group type = Pmmn (59)
size of the total moment = 0.0 μB/cell